A plane-wave DFT calculation with GGA-PBE was carried out for a geometry-optimized Sc2HgCl structure.

Results
total moment: 0.00 μB/cell
distance to the lowest polymorph of the same formula: 69 meV per atom
E_tot: -4.43 eV per atom
raw formation energy: -0.7240 eV per atom

Unit cell a=3.4228 b=3.4228 c=26.8220 alpha=90.00 beta=90.00 gamma=120.00
Space group R3m (No. 160, hexagonal axes)
One atom of each set of equivalent atoms:
1 Sc 0.0000 0.0000 0.0000 (multiplicity 3)
2 Sc 0.0000 0.0000 0.4969 (multiplicity 3)
3 Hg 0.0000 0.0000 0.2483 (multiplicity 3)
4 Cl 0.0000 0.0000 0.0970 (multiplicity 3)